Computed, not measured: a geometry-optimized FeAs2SeO structure at the PBE+U level of DFT.

Unit cell a=4.714 b=4.714 c=4.595 alpha=90.00 beta=90.00 gamma=90.00
Space group P4/mmm (No. 123)
One atom of each set of equivalent atoms:
Fe  0.000  0.000  0.000 [1 per cell]
As  0.000  0.500  0.000 [2 per cell]
Se  0.000  0.000  0.500 [1 per cell]
O  0.500  0.500  0.500 [1 per cell]

Output
DFT total energy: -3.606 eV/atom
Magnetic moment: 3.684 μB per cell
Excess energy over the best structure of this formula in the dataset: 47.6 kJ per mole of atoms
V: 102.1 Å³ per cell